Here is crystalline Pr2Nd5DyEr at its relaxed geometry from the Alexandria database. Energies are from PBE.

Cell: 10.3972 10.3972 10.3972 Å, 130.78 130.78 72.16°
Positions (direct):
Pr (0.1220, 0.6220, 0.7439)
Pr (0.3780, 0.1220, 0.5000)
Pr (0.6220, 0.8780, 0.5000)
Pr (0.8780, 0.3780, 0.2561)
Nd (0.0000, 0.0000, 0.0000)
Nd (0.0747, 0.1371, 0.5000)
Nd (0.1371, 0.6371, 0.0625)
Nd (0.3629, 0.4253, 0.5000)
Nd (0.4253, 0.9253, 0.0625)
Nd (0.5000, 0.5000, 0.0000)
Nd (0.5747, 0.0747, 0.9375)
Nd (0.6371, 0.5747, 0.5000)
Nd (0.8629, 0.3629, 0.9375)
Nd (0.9253, 0.8629, 0.5000)
Dy (0.2500, 0.2500, 0.0000)
Dy (0.7500, 0.7500, 0.0000)
Er (0.2500, 0.7500, 0.5000)
Er (0.7500, 0.2500, 0.5000)

- Raw total energy: -4.459 eV per atom
- E_form: 0.2707 eV per atom